[1]
Below is a relaxed structure of FeCoRu2, with properties calculated at the PBE level.

Values from the calculation:
total magnetic moment	3.5	μB per cell
space group	P4mm (99)
formation energy	0.144	eV per atom
energy above the most stable polymorph in this dataset	29	meV per atom

a = 2.657 Å, b = 2.657 Å, c = 7.174 Å
α = 90.00°, β = 90.00°, γ = 90.00°
Site moments in Bohr magnetons follow the coordinates.
Sites, in units of the cell vectors:
Fe1 0.500 0.500 0.737  2.38
Ru1 0.000 0.000 0.994  -0.17
Ru2 0.500 0.500 0.261  0.09
Co1 0.000 0.000 0.508  1.25

---

[2]
Below is a relaxed structure of KI, with properties calculated at the PBE level.

Values from the calculation:
total magnetic moment	0.0	μB per cell
space group	Pm-3n (223)
uncorrected formation energy	-1386	meV/atom

a = 9.747 Å, b = 9.747 Å, c = 9.747 Å
α = 90.00°, β = 90.00°, γ = 90.00°
Sites, in units of the cell vectors:
K1 0.750 0.000 0.500
K2 0.000 0.500 0.750
K3 0.500 0.250 0.000
K4 0.000 0.500 0.250
K5 0.250 0.000 0.500
I1 0.500 0.000 0.250
K6 0.500 0.750 0.000
I2 0.250 0.500 0.000
I3 0.000 0.750 0.500
I4 0.500 0.000 0.750
I5 0.000 0.250 0.500
I6 0.750 0.500 0.000

---

[3]
Below is a relaxed structure of NaTiNb2O8, with properties calculated at the PBE level.

Values from the calculation:
total magnetic moment	1.0	μB per cell
space group	C2/m (12)
uncorrected formation energy	-2353	meV/atom

a = 4.810 Å, b = 4.809 Å, c = 6.416 Å
α = 89.46°, β = 89.46°, γ = 87.01°
Site moments in Bohr magnetons follow the coordinates.
Sites, in units of the cell vectors:
O1 0.680 0.680 0.500  0.01
Ti1 0.000 0.000 0.000  -0.06
Nb1 0.479 0.479 0.740  -0.04
O2 0.320 0.320 0.500  0.01
O3 0.788 0.208 0.211  0.10
O4 0.703 0.703 0.004  0.27
Nb2 0.521 0.521 0.260  -0.04
O5 0.212 0.792 0.789  0.10
O6 0.208 0.788 0.211  0.10
O7 0.792 0.212 0.789  0.10
Na1 0.000 0.000 0.500  0.00
O8 0.297 0.297 0.996  0.27

---

[4]
Below is a relaxed structure of Th6SnTe3P2, with properties calculated at the PBE level.

Values from the calculation:
total magnetic moment	0.0	μB per cell
space group	C2/m (12)
uncorrected formation energy	-1157	meV/atom

a = 4.328 Å, b = 8.878 Å, c = 9.892 Å
α = 105.04°, β = 102.64°, γ = 90.00°
Sites, in units of the cell vectors:
Th1 0.331 0.875 0.662
Th2 0.675 0.560 0.350
Te1 0.840 0.164 0.681
Th3 0.019 0.256 0.038
Te2 0.500 0.500 0.000
Sn1 0.500 0.000 0.000
P1 0.172 0.341 0.344
Th4 0.325 0.440 0.650
Te3 0.160 0.836 0.319
P2 0.828 0.659 0.656
Th5 0.981 0.744 0.962
Th6 0.669 0.125 0.338

---

[5]
Below is a relaxed structure of NdHfNb, with properties calculated at the PBE level.

Values from the calculation:
total magnetic moment	0.0	μB per cell
space group	R-3m (166)
formation energy	0.270	eV per atom

a = 3.324 Å, b = 3.324 Å, c = 15.533 Å
α = 83.86°, β = 83.86°, γ = 60.00°
Sites, in units of the cell vectors:
Hf1 0.903 0.903 0.290
Nd1 0.630 0.630 0.109
Nb1 0.812 0.812 0.564
Nb2 0.188 0.188 0.436
Hf2 0.097 0.097 0.710
Nd2 0.370 0.370 0.891

---

[6]
Below is a relaxed structure of ErMgI4, with properties calculated at the PBE level.

Values from the calculation:
total magnetic moment	0.2	μB per cell
space group	P2/m (10)
uncorrected formation energy	-1060	meV/atom

a = 4.108 Å, b = 8.151 Å, c = 7.740 Å
α = 107.40°, β = 90.00°, γ = 90.00°
Site moments in Bohr magnetons follow the coordinates.
Sites, in units of the cell vectors:
I1 0.500 0.714 0.737  0.00
Er1 0.500 0.500 0.000  0.12
Mg1 0.000 0.500 0.500  0.00
I2 0.000 0.728 0.257  0.00
I3 0.000 0.272 0.743  0.00
I4 0.500 0.286 0.263  0.00

---

[7]
Below is a relaxed structure of La2Tb4Sm5, with properties calculated at the PBE level.

Values from the calculation:
total magnetic moment	0.0	μB per cell
space group	C2/m (12)
formation energy	0.066	eV per atom
energy above the most stable polymorph in this dataset	0	meV per atom

a = 3.565 Å, b = 11.790 Å, c = 9.111 Å
α = 94.16°, β = 101.28°, γ = 90.00°
Sites, in units of the cell vectors:
Sm1 0.176 0.068 0.352
Tb1 0.032 0.257 0.063
Tb2 0.361 0.201 0.721
Tb3 0.639 0.799 0.279
Sm2 0.906 0.462 0.811
La1 0.282 0.646 0.565
La2 0.718 0.354 0.435
Sm3 0.500 0.000 0.000
Sm4 0.094 0.538 0.189
Tb4 0.968 0.743 0.937
Sm5 0.824 0.932 0.648

---

[8]
Below is a relaxed structure of Zr3CdC, with properties calculated at the PBE level.

Values from the calculation:
total magnetic moment	0.0	μB per cell
space group	Cmcm (63)
formation energy	0.790	eV per atom
energy above the most stable polymorph in this dataset	1219	meV per atom

a = 8.493 Å, b = 8.493 Å, c = 5.615 Å
α = 90.00°, β = 90.00°, γ = 143.60°
Sites, in units of the cell vectors:
Zr1 0.589 0.919 0.250
Zr2 0.000 0.000 0.000
Zr3 0.081 0.411 0.250
Zr4 0.411 0.081 0.750
C1 0.436 0.564 0.250
Zr5 0.000 0.000 0.500
C2 0.564 0.436 0.750
Zr6 0.919 0.589 0.750
Cd1 0.835 0.165 0.750
Cd2 0.165 0.835 0.250